First-principles (GGA-PBE) data for a relaxed BaEuHg crystal, as listed in the Alexandria database.

a = 4.5297 Å, b = 5.5542 Å, c = 5.5542 Å
α = 120.00°, β = 90.00°, γ = 90.00°
Closest atoms and distances in Å follow each position.
Fractional coordinates of all 3 atoms:
Eu: 0.1678 0.0000 0.0000  3 Hg 3.21
Hg: 0.1649 0.3333 0.6667  3 Eu 3.21
Ba: 0.6673 0.6667 0.3333  6 Hg 3.92-3.93, 6 Eu 3.92-3.93

## Properties
formation enthalpy at 0 K	-0.237	eV per atom
VASP energy	-0.1618	Ha/atom


First-principles (GGA-PBE) data for a relaxed ScCuC crystal, as listed in the Alexandria database.

a = 7.7607 Å, b = 3.6270 Å, c = 3.2883 Å
α = 90.00°, β = 90.00°, γ = 62.21°
Closest atoms and distances in Å follow each position.
Fractional coordinates of all 6 atoms:
Sc: 0.3881 0.8316 0.5397  4 C 2.46
Sc: 0.7326 0.9881 0.0398  3 C 2.14-2.31
C: 0.9699 0.7510 0.5398  4 Cu 1.84-2.01
C: 0.4205 0.2993 0.0397  1 Cu 1.94, 1 Sc 2.14
Cu: 0.9267 0.2941 0.5400  2 C 1.84
Cu: 0.1381 0.5817 0.0398  3 C 1.94-2.01

## Properties
formation enthalpy at 0 K	-0.021	eV per atom
VASP energy	-0.2415	Ha/atom


First-principles (GGA-PBE) data for a relaxed BiPt4 crystal, as listed in the Alexandria database.

a = 5.0068 Å, b = 5.0068 Å, c = 5.0068 Å
α = 90.00°, β = 90.00°, γ = 90.00°
Closest atoms and distances in Å follow each position.
Fractional coordinates of all 5 atoms:
Bi: 0.5000 0.5000 0.5000  6 Pt 2.50
Pt: 0.0000 0.0000 0.0000  12 Pt 3.54
Pt: 0.5000 0.0000 0.5000  2 Bi 2.50
Pt: 0.0000 0.5000 0.5000  2 Bi 2.50
Pt: 0.5000 0.5000 0.0000  2 Bi 2.50

## Properties
formation enthalpy at 0 K	1.510	eV per atom
VASP energy	-0.1506	Ha/atom


First-principles (GGA-PBE) data for a relaxed As2OsBr crystal, as listed in the Alexandria database.

a = 3.9874 Å, b = 3.7959 Å, c = 7.3867 Å
α = 102.94°, β = 90.00°, γ = 90.00°
Closest atoms and distances in Å follow each position.
Fractional coordinates of all 4 atoms:
As: 0.0000 0.8260 0.0454  2 Os 2.55, 4 As 2.75-2.76
As: 0.5000 0.3219 0.0383  2 Os 2.44
Os: 0.5000 0.7287 0.8245  4 As 2.44-2.55, 2 Br 2.60
Br: 0.0000 0.6234 0.5918  2 Os 2.60

## Properties
raw formation energy	6.50	kcal/mol of atoms
VASP energy	-0.1936	Ha/atom